This record from Alexandria describes an optimized crystal structure of Mg2FeCoO. The functional is GGA+U.

The structure in CIF format:
```
data_Mg2FeCoO
_symmetry_space_group_name_H-M 'P 4/m m m'
_symmetry_Int_Tables_number 123
_symmetry_space_group_name_Hall '-P 4 2'
_cell_length_a 4.727
_cell_length_b 4.727
_cell_length_c 4.334
_cell_angle_alpha 90.00
_cell_angle_beta 90.00
_cell_angle_gamma 90.00
loop_
_atom_site_label
_atom_site_type_symbol
_atom_site_fract_x
_atom_site_fract_y
_atom_site_fract_z
_atom_site_occupancy
Mg1 Mg 0.000 0.500 0.000 1
Fe1 Fe 0.000 0.000 0.500 1
Co1 Co 0.000 0.000 0.000 1
O1 O 0.500 0.500 0.500 1
```

Results
Its raw total energy is -14.79 eV/cell.